Compound: FeAs2Pb
Source: Alexandria
Functional: PBEsol
Structure: optimized geometry

a = 3.178 Å, b = 3.178 Å, c = 7.389 Å
α = 90.00°, β = 90.00°, γ = 90.00°
Atoms (fractional coordinates):
Fe 0.000 0.000 0.000
As 0.000 0.000 0.655
As 0.500 0.500 0.877
Pb 0.500 0.500 0.286

For the size of the total moment, the calculation gives 1.3 μB/f.u. Its space group is P4mm. The formation energy is 0.1910 eV/atom.

Compound: FeAs2Pb
Source: Alexandria
Functional: PBEsol
Structure: optimized geometry

a = 4.740 Å, b = 4.740 Å, c = 3.632 Å
α = 90.00°, β = 90.00°, γ = 106.55°
Atoms (fractional coordinates):
Fe 0.000 0.000 0.000
As 0.000 0.500 0.500
As 0.500 0.000 0.500
Pb 0.500 0.500 0.000

For the size of the total moment, the calculation gives 2.8 μB/f.u. Its space group is Cmmm. The formation energy is 0.5516 eV/atom.

Compound: FeAs2Pb
Source: Alexandria
Functional: PBEsol
Structure: optimized geometry

a = 8.600 Å, b = 8.600 Å, c = 8.600 Å
α = 159.82°, β = 159.52°, γ = 28.91°
Atoms (fractional coordinates):
Fe 0.000 0.000 0.000
As 0.567 0.567 0.000
As 0.891 0.391 0.500
Pb 0.235 0.735 0.500

For the size of the total moment, the calculation gives 0.9 μB/f.u. Its space group is Imm2. The formation energy is 0.0900 eV/atom.

Compound: FeAs2Pb
Source: Alexandria
Functional: PBEsol
Structure: optimized geometry

a = 5.621 Å, b = 5.621 Å, c = 5.621 Å
α = 138.40°, β = 138.40°, γ = 60.29°
Atoms (fractional coordinates):
Fe 0.000 0.000 0.000
As 0.250 0.750 0.500
As 0.750 0.250 0.500
Pb 0.500 0.500 0.000

For the size of the total moment, the calculation gives 2.9 μB/f.u. Its space group is I4/mmm. The formation energy is 0.5790 eV/atom.

Compound: FeAsPt4
Source: Alexandria
Functional: PBEsol
Structure: optimized geometry

a = 5.189 Å, b = 5.189 Å, c = 5.189 Å
α = 60.00°, β = 60.00°, γ = 60.00°
Atoms (fractional coordinates):
Fe 0.000 0.000 0.000
As 0.250 0.250 0.250
Pt 0.124 0.625 0.625
Pt 0.625 0.124 0.625
Pt 0.625 0.625 0.124
Pt 0.625 0.625 0.625

For the size of the total moment, the calculation gives 3.6 μB/f.u. Its space group is F-43m. The formation energy is 0.3485 eV/atom.

Compound: FeAsPt2
Source: Alexandria
Functional: PBEsol
Structure: optimized geometry

a = 4.909 Å, b = 4.909 Å, c = 4.909 Å
α = 139.80°, β = 129.43°, γ = 66.49°
Atoms (fractional coordinates):
Fe 0.000 0.000 0.000
As 0.777 0.277 0.500
Pt 0.284 0.784 0.500
Pt 0.554 0.554 0.000

For the size of the total moment, the calculation gives 3.1 μB/f.u. Its space group is Imm2. The formation energy is -0.0260 eV/atom.

Compound: FeAsPt2
Source: Alexandria
Functional: PBEsol
Structure: optimized geometry

a = 8.741 Å, b = 8.741 Å, c = 8.741 Å
α = 18.54°, β = 18.54°, γ = 18.54°
Atoms (fractional coordinates):
Fe 0.000 0.000 0.000
As 0.500 0.500 0.500
Pt 0.253 0.253 0.253
Pt 0.747 0.747 0.747

For the size of the total moment, the calculation gives 3.5 μB/f.u. Its space group is R-3m. The formation energy is 0.0001 eV/atom.

Compound: RbFe2As2
Source: Alexandria
Functional: PBEsol
Structure: optimized geometry

a = 7.699 Å, b = 7.699 Å, c = 7.699 Å
α = 152.29°, β = 152.29°, γ = 39.59°
Atoms (fractional coordinates):
Rb 0.000 0.000 0.000
Fe 0.250 0.750 0.500
Fe 0.750 0.250 0.500
As 0.346 0.346 0.000
As 0.654 0.654 0.000

For the size of the total moment, the calculation gives 1.4 μB/f.u. Its space group is I4/mmm. The formation energy is -0.2912 eV/atom.

Compound: Fe2ReAs
Source: Alexandria
Functional: PBEsol
Structure: optimized geometry

a = 4.770 Å, b = 4.770 Å, c = 4.770 Å
α = 144.42°, β = 128.72°, γ = 63.98°
Atoms (fractional coordinates):
Fe 0.230 0.230 0.000
Fe 0.770 0.770 0.000
Re 0.500 0.000 0.500
As 0.000 0.500 0.500

As for the distance to the lowest polymorph of the same formula: 0.0297 eV/atom. For the size of the total moment, the calculation gives 1.8 μB/f.u. Its space group is Immm. The formation energy is 0.1676 eV/atom.

Compound: FeRe2As
Source: Alexandria
Functional: PBEsol
Structure: optimized geometry

a = 2.839 Å, b = 2.839 Å, c = 6.594 Å
α = 90.00°, β = 90.00°, γ = 90.00°
Atoms (fractional coordinates):
Fe 0.000 0.000 0.000
Re 0.000 0.000 0.538
Re 0.500 0.500 0.270
As 0.500 0.500 0.798

As for the distance to the lowest polymorph of the same formula: 0.0000 eV/atom. For the size of the total moment, the calculation gives 0.0 μB/f.u. Its space group is P4mm. The formation energy is 0.1273 eV/atom.

Compound: FeRe2As
Source: Alexandria
Functional: PBEsol
Structure: optimized geometry

a = 2.957 Å, b = 2.957 Å, c = 6.146 Å
α = 90.00°, β = 90.00°, γ = 90.00°
Atoms (fractional coordinates):
Fe 0.000 0.000 0.000
Re 0.500 0.500 0.244
Re 0.500 0.500 0.756
As 0.000 0.000 0.500

As for the distance to the lowest polymorph of the same formula: 0.0975 eV/atom. For the size of the total moment, the calculation gives 1.7 μB/f.u. Its space group is P4/mmm. The formation energy is 0.2248 eV/atom.

Compound: Fe2ReAs
Source: Alexandria
Functional: PBEsol
Structure: optimized geometry

a = 2.729 Å, b = 3.524 Å, c = 5.059 Å
α = 90.00°, β = 90.00°, γ = 90.00°
Atoms (fractional coordinates):
Fe 0.000 0.000 0.248
Fe 0.000 0.000 0.752
Re 0.500 0.500 0.000
As 0.500 0.500 0.500

As for the distance to the lowest polymorph of the same formula: 0.0000 eV/atom. For the size of the total moment, the calculation gives 0.0 μB/f.u. Its space group is Pmmm. The formation energy is 0.1379 eV/atom.

Compound: Fe2ReAs
Source: Alexandria
Functional: PBEsol
Structure: optimized geometry

a = 4.195 Å, b = 4.195 Å, c = 2.844 Å
α = 90.00°, β = 90.00°, γ = 90.00°
Atoms (fractional coordinates):
Fe 0.000 0.500 0.000
Fe 0.500 0.000 0.000
Re 0.000 0.000 0.500
As 0.500 0.500 0.500

As for the distance to the lowest polymorph of the same formula: 0.1386 eV/atom. For the size of the total moment, the calculation gives 3.0 μB/f.u. Its space group is P4/mmm. The formation energy is 0.2765 eV/atom.

Compound: Fe2ReAs
Source: Alexandria
Functional: PBEsol
Structure: optimized geometry

a = 4.124 Å, b = 4.124 Å, c = 4.124 Å
α = 60.00°, β = 60.00°, γ = 60.00°
Atoms (fractional coordinates):
Fe 0.250 0.250 0.250
Fe 0.750 0.750 0.750
Re 0.000 0.000 0.000
As 0.500 0.500 0.500

As for the distance to the lowest polymorph of the same formula: 0.2085 eV/atom. For the size of the total moment, the calculation gives 3.4 μB/f.u. Its space group is Fm-3m. The formation energy is 0.3465 eV/atom.

Compound: FeReAs2
Source: Alexandria
Functional: PBEsol
Structure: optimized geometry

a = 4.213 Å, b = 4.213 Å, c = 3.018 Å
α = 90.00°, β = 90.00°, γ = 90.00°
Atoms (fractional coordinates):
Fe 0.000 0.000 0.000
Re 0.500 0.500 0.000
As 0.000 0.500 0.500
As 0.500 0.000 0.500

For the size of the total moment, the calculation gives 0.0 μB/f.u. Its space group is P4/mmm. The formation energy is 0.1959 eV/atom.

Compound: Fe2AsRh
Source: Alexandria
Functional: PBEsol
Structure: optimized geometry

a = 2.728 Å, b = 3.784 Å, c = 4.957 Å
α = 90.00°, β = 90.00°, γ = 90.00°
Atoms (fractional coordinates):
Fe 0.000 0.000 0.249
Fe 0.000 0.000 0.751
As 0.500 0.500 0.000
Rh 0.500 0.500 0.500

For the size of the total moment, the calculation gives 5.5 μB/f.u. Its space group is Pmmm. The formation energy is 0.0105 eV/atom.

Compound: Fe3AsRh
Source: Alexandria
Functional: PBEsol
Structure: optimized geometry

a = 4.521 Å, b = 4.521 Å, c = 4.521 Å
α = 90.00°, β = 90.00°, γ = 90.00°
Atoms (fractional coordinates):
Fe 0.000 0.000 0.500
Fe 0.000 0.500 0.000
Fe 0.500 0.000 0.000
As 0.500 0.500 0.500
Rh 0.000 0.000 0.000

As for the distance to the lowest polymorph of the same formula: 0.3757 eV/atom. For the size of the total moment, the calculation gives 10.6 μB/f.u. Its space group is Pm-3m. The formation energy is 1.3256 eV/atom.

Compound: FeAsRh3
Source: Alexandria
Functional: PBEsol
Structure: optimized geometry

a = 4.429 Å, b = 4.429 Å, c = 4.429 Å
α = 90.00°, β = 90.00°, γ = 90.00°
Atoms (fractional coordinates):
Fe 0.000 0.000 0.000
As 0.500 0.500 0.500
Rh 0.000 0.500 0.500
Rh 0.500 0.000 0.500
Rh 0.500 0.500 0.000

For the size of the total moment, the calculation gives 4.1 μB/f.u. Its space group is Pm-3m. The formation energy is 0.7965 eV/atom.

Compound: Fe3AsRh
Source: Alexandria
Functional: PBEsol
Structure: optimized geometry

a = 4.255 Å, b = 4.255 Å, c = 4.255 Å
α = 90.00°, β = 90.00°, γ = 90.00°
Atoms (fractional coordinates):
Fe 0.000 0.000 0.500
Fe 0.000 0.500 0.000
Fe 0.500 0.000 0.000
As 0.000 0.000 0.000
Rh 0.500 0.500 0.500

As for the distance to the lowest polymorph of the same formula: 0.0000 eV/atom. For the size of the total moment, the calculation gives 8.3 μB/f.u. Its space group is Pm-3m. The formation energy is 0.9499 eV/atom.

Compound: FeAsRh
Source: Alexandria
Functional: PBEsol
Structure: optimized geometry

a = 4.423 Å, b = 4.423 Å, c = 4.423 Å
α = 142.35°, β = 129.78°, γ = 64.43°
Atoms (fractional coordinates):
Fe 0.000 0.000 0.000
As 0.324 0.324 0.000
Rh 0.656 0.656 0.000

For the size of the total moment, the calculation gives 2.9 μB/f.u. Its space group is Imm2. The formation energy is -0.0453 eV/atom.

Compound: FeAsRh
Source: Alexandria
Functional: PBEsol
Structure: optimized geometry

a = 4.962 Å, b = 4.962 Å, c = 4.962 Å
α = 145.34°, β = 145.34°, γ = 49.83°
Atoms (fractional coordinates):
Fe 0.000 0.000 0.000
As 0.356 0.356 0.000
Rh 0.684 0.684 0.000

For the size of the total moment, the calculation gives 2.6 μB/f.u. Its space group is I4mm. The formation energy is -0.0428 eV/atom.

Compound: FeAsRh
Source: Alexandria
Functional: PBEsol
Structure: optimized geometry

a = 4.018 Å, b = 4.018 Å, c = 2.823 Å
α = 90.00°, β = 90.00°, γ = 120.00°
Atoms (fractional coordinates):
Fe 0.000 0.000 0.000
As 0.667 0.333 0.174
Rh 0.333 0.667 0.507

For the size of the total moment, the calculation gives 2.3 μB/f.u. Its space group is P3m1. The formation energy is -0.1026 eV/atom.

Compound: FeAs2Rh
Source: Alexandria
Functional: PBEsol
Structure: optimized geometry

a = 4.044 Å, b = 4.044 Å, c = 5.081 Å
α = 102.04°, β = 102.04°, γ = 42.31°
Atoms (fractional coordinates):
Fe 0.000 0.000 0.000
As 0.256 0.256 0.769
As 0.744 0.744 0.231
Rh 0.500 0.500 0.500

For the size of the total moment, the calculation gives 0.4 μB/f.u. Its space group is C2/m. The formation energy is -0.0949 eV/atom.

Compound: FeAs4Ru
Source: Alexandria
Functional: PBEsol
Structure: optimized geometry

a = 5.244 Å, b = 5.244 Å, c = 5.244 Å
α = 60.00°, β = 60.00°, γ = 60.00°
Atoms (fractional coordinates):
Fe 0.000 0.000 0.000
As 0.375 0.375 0.375
As 0.375 0.375 0.875
As 0.375 0.875 0.375
As 0.875 0.375 0.375
Ru 0.750 0.750 0.750

For the size of the total moment, the calculation gives 2.4 μB/f.u. Its space group is F-43m. The formation energy is 0.9685 eV/atom.

Compound: FeAsRu2
Source: Alexandria
Functional: PBEsol
Structure: optimized geometry

a = 2.835 Å, b = 4.220 Å, c = 4.417 Å
α = 90.00°, β = 90.00°, γ = 90.00°
Atoms (fractional coordinates):
Fe 0.000 0.000 0.000
As 0.500 0.000 0.500
Ru 0.000 0.500 0.500
Ru 0.500 0.500 0.000

For the size of the total moment, the calculation gives 2.3 μB/f.u. Its space group is Pmmm. The formation energy is 0.2635 eV/atom.

Compound: Fe2SnAsRu
Source: Alexandria
Functional: PBEsol
Structure: optimized geometry

a = 4.308 Å, b = 4.308 Å, c = 4.573 Å
α = 90.00°, β = 90.00°, γ = 90.00°
Atoms (fractional coordinates):
Fe 0.000 0.500 0.000
Fe 0.500 0.000 0.000
Sn 0.000 0.000 0.500
As 0.500 0.500 0.000
Ru 0.500 0.500 0.500

For the size of the total moment, the calculation gives 4.9 μB/f.u. Its space group is P4/mmm. The formation energy is 0.6412 eV/atom.

Compound: FeAsS
Source: Alexandria
Functional: PBEsol
Structure: optimized geometry

a = 5.655 Å, b = 5.585 Å, c = 5.678 Å
α = 90.00°, β = 112.24°, γ = 90.00°
Atoms (fractional coordinates):
Fe 0.212 0.009 0.203
Fe 0.212 0.491 0.703
Fe 0.788 0.509 0.297
Fe 0.788 0.991 0.797
As 0.354 0.633 0.128
As 0.354 0.867 0.628
As 0.646 0.133 0.372
As 0.646 0.367 0.872
S 0.152 0.134 0.823
S 0.152 0.366 0.323
S 0.848 0.634 0.677
S 0.848 0.866 0.177

For the size of the total moment, the calculation gives 0.0 μB/f.u. Its energy relative to the elements, uncorrected is -0.59 eV per atom. Its space group is P2_1/c.

Compound: Fe2SbAs
Source: Alexandria
Functional: PBEsol
Structure: optimized geometry

a = 4.087 Å, b = 4.843 Å, c = 4.843 Å
α = 39.97°, β = 90.00°, γ = 90.00°
Atoms (fractional coordinates):
Fe 0.000 0.000 0.000
Fe 0.500 0.142 0.142
Sb 0.000 0.720 0.720
As 0.500 0.437 0.437

For the size of the total moment, the calculation gives 4.1 μB/f.u. Its energy relative to the elements, uncorrected is 0.08 eV per atom. Its space group is Amm2.

Compound: FeSbAs2
Source: Alexandria
Functional: PBEsol
Structure: optimized geometry

a = 6.012 Å, b = 6.012 Å, c = 6.012 Å
α = 151.21°, β = 135.80°, γ = 53.60°
Atoms (fractional coordinates):
Fe 0.000 0.000 0.000
Sb 0.500 0.500 0.000
As 0.181 0.681 0.500
As 0.819 0.319 0.500

For the size of the total moment, the calculation gives 1.2 μB/f.u. Its energy relative to the elements, uncorrected is 0.22 eV per atom. Its space group is Immm.

Compound: FeSb2As
Source: Alexandria
Functional: PBEsol
Structure: optimized geometry

a = 3.466 Å, b = 4.494 Å, c = 5.266 Å
α = 90.00°, β = 90.00°, γ = 90.00°
Atoms (fractional coordinates):
Fe 0.000 0.000 0.000
Sb 0.000 0.500 0.500
Sb 0.500 0.500 0.000
As 0.500 0.000 0.500

For the size of the total moment, the calculation gives 2.7 μB/f.u. Its energy relative to the elements, uncorrected is 0.56 eV per atom. Its space group is Pmmm.